Record 1
The following is a PBE calculation of an optimized crystal structure of AcNdAsO, from the Open Quantum Materials Database.

Cell: 4.330 8.512 6.028 Å, 90.00 90.00 90.00°
Atoms (fractional coordinates):
Ac: 0.000 0.116 0.000
Ac: 0.000 0.884 0.500
Nd: 0.500 0.304 0.456
Nd: 0.500 0.696 0.956
As: 0.500 0.356 0.951
As: 0.500 0.644 0.451
O: 0.000 0.180 0.406
O: 0.000 0.820 0.906

## Properties
Energy above the lowest structure with this stoichiometry in eV/atom: 0.094
Space-group type: Pmc2_1

***

Record 2
The following is a PBE calculation of an optimized crystal structure of AcNdAsO, from the Open Quantum Materials Database.

Cell: 4.597 4.597 9.353 Å, 90.00 90.00 90.00°
Atoms (fractional coordinates):
Ac: 0.250 0.750 0.000
Ac: 0.750 0.250 0.000
Nd: 0.250 0.250 0.410
Nd: 0.750 0.750 0.590
As: 0.250 0.250 0.777
As: 0.750 0.750 0.223
O: 0.250 0.750 0.500
O: 0.750 0.250 0.500

## Properties
Energy above the lowest structure with this stoichiometry in eV/atom: 0.305
Space-group type: P4/nmm

***

Record 3
The following is a PBE calculation of an optimized crystal structure of AcNdAsO, from the Open Quantum Materials Database.

Cell: 4.485 8.055 6.423 Å, 90.00 90.00 90.00°
Atoms (fractional coordinates):
Ac: 0.000 0.206 0.000
Ac: 0.000 0.794 0.500
Nd: 0.500 0.389 0.568
Nd: 0.500 0.611 0.068
As: 0.000 0.175 0.494
As: 0.000 0.825 0.994
O: 0.500 0.336 0.928
O: 0.500 0.664 0.428

## Properties
Energy above the lowest structure with this stoichiometry in eV/atom: 0.023
Space-group type: Pmc2_1

***

Record 4
The following is a PBE calculation of an optimized crystal structure of AcNdAsO, from the Open Quantum Materials Database.

Cell: 4.565 4.565 9.675 Å, 90.00 90.00 90.00°
Atoms (fractional coordinates):
Ac: 0.250 0.250 0.113
Ac: 0.750 0.750 0.887
Nd: 0.250 0.750 0.500
Nd: 0.750 0.250 0.500
As: 0.250 0.250 0.697
As: 0.750 0.750 0.303
O: 0.250 0.750 0.000
O: 0.750 0.250 0.000

## Properties
Energy above the lowest structure with this stoichiometry in eV/atom: 0.000
Space-group type: P4/nmm

***

Record 5
The following is a PBE calculation of an optimized crystal structure of AcNi2As2, from the Open Quantum Materials Database.

Cell: 4.335 4.335 9.642 Å, 90.00 90.00 90.00°
Atoms (fractional coordinates):
Ac: 0.250 0.250 0.246
Ac: 0.750 0.750 0.754
Ni: 0.250 0.250 0.614
Ni: 0.250 0.750 0.000
Ni: 0.750 0.250 0.000
Ni: 0.750 0.750 0.386
As: 0.250 0.250 0.874
As: 0.250 0.750 0.500
As: 0.750 0.250 0.500
As: 0.750 0.750 0.126

## Properties
VASP energy in eV/cell: -57.277
Space-group type: P4/nmm

***

Record 6
The following is a PBE calculation of an optimized crystal structure of AcNiAs, from the Open Quantum Materials Database.

Cell: 4.994 4.994 4.994 Å, 60.00 60.00 60.00°
Atoms (fractional coordinates):
Ac: 0.000 0.000 0.000
Ni: 0.250 0.250 0.250
As: 0.750 0.750 0.750

## Properties
Energy above the lowest structure with this stoichiometry in eV/atom: 0.782
Space-group type: F-43m

***

Record 7
The following is a PBE calculation of an optimized crystal structure of AcNiAs, from the Open Quantum Materials Database.

Cell: 4.647 4.647 4.647 Å, 60.00 60.00 60.00°
Atoms (fractional coordinates):
Ac: 0.000 0.000 0.000
Ni: 0.750 0.750 0.750
As: 0.500 0.500 0.500

## Properties
Energy above the lowest structure with this stoichiometry in eV/atom: 0.000
Space-group type: F-43m

***

Record 8
The following is a PBE calculation of an optimized crystal structure of Ac2NiAs4Pd, from the Open Quantum Materials Database.

Cell: 4.674 8.671 8.671 Å, 30.16 90.00 90.00°
Atoms (fractional coordinates):
Ac: 0.000 0.000 0.000
Ac: 0.500 0.218 0.218
Ni: 0.500 0.422 0.422
As: 0.000 0.362 0.362
As: 0.000 0.640 0.640
As: 0.500 0.567 0.567
As: 0.500 0.863 0.863
Pd: 0.000 0.791 0.791

## Properties
VASP energy in eV/cell: -44.866
Space-group type: Amm2